Entry 1:
DFT (meta-GGA SCAN) results for a PBEsol-optimized structure of Ca2PbF.

Cell lengths 7.388, 7.388, 7.388 Å; angles 90.00, 90.00, 90.00 degrees
Space group Fm-3m (No. 225)
Asymmetric unit:
Ca: 0.250 0.250 0.250 [8 per cell]
Pb: 0.000 0.000 0.000 [4 per cell]
F: 0.000 0.000 0.500 [4 per cell]

## Properties
Formation energy (no corrections): -1.30 eV/atom
Total moment: 1.037 μB/f.u.


Entry 2:
DFT (meta-GGA SCAN) results for a PBEsol-optimized structure of Li7Tl.

Cell lengths 8.403, 8.403, 8.403 Å; angles 90.00, 90.00, 90.00 degrees
Space group Fm-3m (No. 225)
Asymmetric unit:
Li: 0.000 0.000 0.000 [4 per cell]
Li: 0.000 0.250 0.250 [24 per cell]
Tl: 0.000 0.000 0.500 [4 per cell]

## Properties
DFT formation energy: -0.16 eV/atom
Total moment: 0.209 μB/f.u.


Entry 3:
DFT (meta-GGA SCAN) results for a PBEsol-optimized structure of Ca2ScSb.

Cell lengths 6.467, 10.028, 3.477 Å; angles 90.00, 90.00, 90.00 degrees
Space group Cmmm (No. 65)
Asymmetric unit:
Ca: 0.250 0.250 0.000 [4 per cell]
Sc: 0.000 0.000 0.500 [2 per cell]
Sb: 0.000 0.500 0.500 [2 per cell]

## Properties
Formation energy (no corrections): -0.25 eV/atom
Total moment: 0.000 μB/f.u.


Entry 4:
DFT (meta-GGA SCAN) results for a PBEsol-optimized structure of La2HfScTi.

Cell lengths 5.500, 5.500, 4.992 Å; angles 90.00, 90.00, 90.00 degrees
Space group P4/mmm (No. 123)
Asymmetric unit:
La: 0.000 0.500 0.000 [2 per cell]
Hf: 0.000 0.000 0.500 [1 per cell]
Sc: 0.000 0.000 0.000 [1 per cell]
Ti: 0.500 0.500 0.500 [1 per cell]

## Properties
DFT formation energy: 1.08 eV/atom
Total moment: 3.792 μB/f.u.


Entry 5:
DFT (meta-GGA SCAN) results for a PBEsol-optimized structure of La3CuH.

Cell lengths 4.884, 4.884, 4.884 Å; angles 90.00, 90.00, 90.00 degrees
Space group Pm-3m (No. 221)
Asymmetric unit:
La: 0.000 0.000 0.500 [3 per cell]
Cu: 0.500 0.500 0.500 [1 per cell]
H: 0.000 0.000 0.000 [1 per cell]

## Properties
E_tot: -148.0 eV/cell
Total moment: 0.000 μB/f.u.


Entry 6:
DFT (meta-GGA SCAN) results for a PBEsol-optimized structure of TaSi2.

Cell lengths 2.635, 4.136, 17.488 Å; angles 90.00, 90.00, 90.00 degrees
Space group Imma (No. 74)
Asymmetric unit:
Ta: 0.000 0.250 0.105 [4 per cell]
Si: 0.000 0.250 0.538 [4 per cell]
Si: 0.000 0.250 0.686 [4 per cell]

## Properties
Formation energy (no corrections): 0.16 eV/atom
Total moment: 0.000 μB/f.u.


Entry 7:
DFT (meta-GGA SCAN) results for a PBEsol-optimized structure of SbAsAu2.

Cell lengths 5.617, 7.731, 4.759 Å; angles 90.00, 125.93, 90.00 degrees
Space group C2/m (No. 12)
Asymmetric unit:
Sb: 0.000 0.000 0.000 [2 per cell]
As: 0.000 0.500 0.000 [2 per cell]
Au: 0.250 0.250 0.500 [4 per cell]

## Properties
Formation energy (no corrections): -0.02 eV/atom
Total moment: 0.000 μB/f.u.


Entry 8:
DFT (meta-GGA SCAN) results for a PBEsol-optimized structure of NaCaAg3.

Cell lengths 4.958, 4.958, 4.958 Å; angles 90.00, 90.00, 90.00 degrees
Space group Pm-3m (No. 221)
Asymmetric unit:
Na: 0.000 0.000 0.000 [1 per cell]
Ca: 0.500 0.500 0.500 [1 per cell]
Ag: 0.000 0.000 0.500 [3 per cell]

## Properties
DFT formation energy: 0.37 eV/atom
Total moment: 0.000 μB/f.u.


Entry 9:
DFT (meta-GGA SCAN) results for a PBEsol-optimized structure of K2H2C2O5.

Cell lengths 8.824, 6.339, 10.423 Å; angles 90.00, 108.15, 90.00 degrees
Space group C2/c (No. 15)
Asymmetric unit:
K: 0.135 0.160 0.134 [8 per cell]
H: 0.038 0.415 0.689 [8 per cell]
C: 0.228 0.323 0.552 [8 per cell]
O: 0.000 0.489 0.250 [4 per cell]
O: 0.111 0.265 0.590 [8 per cell]
O: 0.188 0.014 0.408 [8 per cell]

## Properties
E_tot: -366.7 eV/cell
Total moment: 0.001 μB/f.u.


Entry 10:
DFT (meta-GGA SCAN) results for a PBEsol-optimized structure of Al2OsSe.

Cell lengths 3.147, 4.200, 4.610 Å; angles 90.00, 90.00, 90.00 degrees
Space group Pmmm (No. 47)
Asymmetric unit:
Al: 0.000 0.000 0.000 [1 per cell]
Al: 0.500 0.000 0.500 [1 per cell]
Os: 0.000 0.500 0.500 [1 per cell]
Se: 0.500 0.500 0.000 [1 per cell]

## Properties
Formation energy (no corrections): 0.22 eV/atom
Total moment: 0.000 μB/f.u.


Entry 11:
DFT (meta-GGA SCAN) results for a PBEsol-optimized structure of ZrCuNi.

Cell lengths 3.274, 3.274, 8.078 Å; angles 90.00, 90.00, 90.00 degrees
Space group I4mm (No. 107)
Asymmetric unit:
Zr: 0.000 0.000 0.000 [2 per cell]
Cu: 0.000 0.000 0.677 [2 per cell]
Ni: 0.000 0.000 0.337 [2 per cell]

## Properties
DFT formation energy: -0.32 eV/atom
Total moment: 0.000 μB/f.u.


Entry 12:
DFT (meta-GGA SCAN) results for a PBEsol-optimized structure of NaTlBi2.

Cell lengths 7.720, 7.720, 7.720 Å; angles 90.00, 90.00, 90.00 degrees
Space group Fm-3m (No. 225)
Asymmetric unit:
Na: 0.000 0.000 0.000 [4 per cell]
Tl: 0.000 0.000 0.500 [4 per cell]
Bi: 0.250 0.250 0.250 [8 per cell]

## Properties
DFT formation energy: 0.00 eV/atom
Total moment: 0.000 μB/f.u.